This record from the Alexandria database describes Pm3NpB4O12 after structural relaxation. The functional is PBE.

abc: 6.6599 6.6599 6.6599
angles: 101.92 101.92 101.92
Element x y z (fractional)
Np 0.0000 0.0000 0.0000
Pm 0.4732 0.0000 0.5268
Pm 0.0000 0.5268 0.4732
Pm 0.5268 0.4732 0.0000
O 0.5000 0.3666 0.6334
O 0.3666 0.6334 0.5000
O 0.3636 0.9774 0.1601
O 0.1601 0.3636 0.9774
O 0.5000 0.1061 0.8939
O 0.8939 0.5000 0.1061
O 0.8399 0.0226 0.6364
O 0.6334 0.5000 0.3666
O 0.1061 0.8939 0.5000
O 0.0226 0.6364 0.8399
O 0.9774 0.1601 0.3636
O 0.6364 0.8399 0.0226
B 0.5000 0.5000 0.5000
B 0.0269 0.5000 0.9731
B 0.9731 0.0269 0.5000
B 0.5000 0.9731 0.0269

Results
- V (A^3/atom) = 13.7
- E (eV/atom) = -8.56
- ΔE_f (raw) (kJ/mol of formula units) = -5571.9
- magnetization (μB per cell) = 4.0